# 1
The following is a PBEsol calculation of a relaxed SrBiO3 crystal, from Alexandria.

The calculation puts the uncorrected formation energy at -1.8768 eV per atom. The crystal system is monoclinic. The calculation puts the total magnetization at 0.0 Bohr magnetons per cell.

The space group is P2_1/c (No. 14) and the conventional cell measures 5.9367, 6.1332 and 10.3515 Å, with angles of 90.00, 124.93 and 90.00 degrees. The asymmetric unit holds Sr at (0.2351, 0.0521, 0.2507), Bi at (0.0000, 0.0000, 0.5000), Bi at (0.5000, 0.0000, 0.0000), O at (0.1291, 0.2133, 0.9389), O at (0.2340, 0.6949, 0.9448) and O at (0.3483, 0.0445, 0.7394).

# 2
The following is a PBEsol calculation of a relaxed Ba2ZnMoO6 crystal, from Alexandria.

The calculation puts the uncorrected formation energy at -2.3824 eV per atom. The crystal system is cubic. The calculation puts the total magnetization at 0.0 Bohr magnetons per cell.

The space group is Fm-3m (No. 225) and the conventional cell measures 8.0829, 8.0829 and 8.0829 Å, with angles of 90.00, 90.00 and 90.00 degrees. The asymmetric unit holds Ba at (0.2500, 0.2500, 0.2500), Zn at (0.0000, 0.0000, 0.0000), Mo at (0.0000, 0.0000, 0.5000) and O at (0.0000, 0.0000, 0.2622).

# 3
The following is a PBEsol calculation of a relaxed TiMo3H crystal, from Alexandria.

The crystal system is cubic. For the calculated total energy, the calculation gives -35.20 eV/f.u. The calculation puts the total magnetization at 0.0 Bohr magnetons per cell.

The space group is Pm-3m (No. 221) and the conventional cell measures 4.4841, 4.4841 and 4.4841 Å, with angles of 90.00, 90.00 and 90.00 degrees. The asymmetric unit holds Ti at (0.0000, 0.0000, 0.0000), Mo at (0.0000, 0.0000, 0.5000) and H at (0.5000, 0.5000, 0.5000).

# 4
The following is a PBEsol calculation of a relaxed Ir2Rh crystal, from Alexandria.

The crystal system is hexagonal. The calculation puts the total magnetization at 0.0 Bohr magnetons per cell. For the formation energy from the elements, the calculation gives 0.9 eV/f.u. For the energy above the most stable polymorph in this dataset, the calculation gives 91.0 kJ/mol of formula units.

The space group is P6/mmm (No. 191) and the conventional cell measures 4.3280, 4.3280 and 2.6498 Å, with angles of 90.00, 90.00 and 120.00 degrees. The asymmetric unit holds Ir at (0.3333, 0.6667, 0.0000) and Rh at (0.0000, 0.0000, 0.5000).

no.,density of states at the Fermi level (states/eV per atom)
1,0.009
2,0.000
3,0.904
4,1.800